LiNi2F after structural relaxation. Source: the Alexandria database, functional PBE+U.

* size of the total moment: 3.0 Bohr magnetons per cell
* total DFT energy (no corrections): -0.0807 Ha/atom
* symmetry: I-42d (122)
* crystal system: tetragonal

Lattice parameters (Å, degrees): 4.688 4.688 7.538 71.88 71.88 90.00
Site moments in Bohr magnetons follow the coordinates.
Positions (direct):
Ni1 0.876 0.125 0.250  0.91
Ni2 0.874 0.625 0.250  0.91
Ni3 0.375 0.124 0.750  0.90
Ni4 0.875 0.126 0.750  0.89
Li1 0.500 0.500 0.000  -0.03
Li2 0.250 0.750 0.500  -0.03
F1 0.000 0.000 0.000  -0.04
F2 0.750 0.250 0.500  -0.04